# 1
The following is a DFT calculation (PBE-GGA) of a relaxed structure of GaRuSeBr2.

Computed properties:
symmetry = P4/mmm, No. 123
energy above the lowest structure with this stoichiometry = 0 meV per atom

Lattice parameters (Å, degrees): 5.2277 5.2277 4.5743 90.00 90.00 90.00
With the nearest neighbours (Å) after each atom.
Element x y z (fractional)
1 Br 0.5000 0.0000 0.0000  2 Ru 2.61
2 Br 0.0000 0.5000 0.0000  2 Ru 2.61
3 Ga 0.5000 0.5000 0.5000  8 Br 3.47, 4 Se 3.70
4 Se 0.0000 0.0000 0.5000  2 Ru 2.29
5 Ru 0.0000 0.0000 0.0000  2 Se 2.29

# 2
The following is a DFT calculation (PBE-GGA) of a relaxed structure of GaRuSe2Br.

Computed properties:
symmetry = P4/mmm, No. 123
energy above the lowest structure with this stoichiometry = 0 meV per atom

Lattice parameters (Å, degrees): 4.8231 4.8231 5.4622 90.00 90.00 90.00
With the nearest neighbours (Å) after each atom.
Element x y z (fractional)
1 Br 0.0000 0.0000 0.5000  2 Ru 2.73
2 Ga 0.5000 0.5000 0.5000  4 Br 3.41, 8 Se 3.64
3 Se 0.0000 0.5000 0.0000  2 Ru 2.41
4 Se 0.5000 0.0000 0.0000  2 Ru 2.41
5 Ru 0.0000 0.0000 0.0000  4 Se 2.41

# 3
The following is a DFT calculation (PBE-GGA) of a relaxed structure of GaRuSeBr2.

Computed properties:
symmetry = P4/mmm, No. 123
energy above the lowest structure with this stoichiometry = 660 meV per atom

Lattice parameters (Å, degrees): 5.1417 5.1417 5.0307 90.00 90.00 90.00
With the nearest neighbours (Å) after each atom.
Element x y z (fractional)
1 Ru 0.5000 0.5000 0.5000  8 Br 3.60, 4 Se 3.64
2 Br 0.5000 0.0000 0.0000  2 Ga 2.57
3 Br 0.0000 0.5000 0.0000  2 Ga 2.57
4 Ga 0.0000 0.0000 0.0000  2 Se 2.52, 4 Br 2.57
5 Se 0.0000 0.0000 0.5000  2 Ga 2.52

# 4
The following is a DFT calculation (PBE-GGA) of a relaxed structure of GaRuSe2Br.

Computed properties:
symmetry = P4/mmm, No. 123
energy above the lowest structure with this stoichiometry = 676 meV per atom

Lattice parameters (Å, degrees): 4.9599 4.9599 5.1150 90.00 90.00 90.00
With the nearest neighbours (Å) after each atom.
Element x y z (fractional)
1 Ru 0.5000 0.5000 0.5000  4 Br 3.51, 8 Se 3.56
2 Se 0.0000 0.5000 0.0000  2 Ga 2.48
3 Se 0.5000 0.0000 0.0000  2 Ga 2.48
4 Br 0.0000 0.0000 0.5000  2 Ga 2.56
5 Ga 0.0000 0.0000 0.0000  4 Se 2.48, 2 Br 2.56

# 5
The following is a DFT calculation (PBE-GGA) of a relaxed structure of Sm6GaRu2Br3.

Computed properties:
symmetry = C2/m, No. 12

Lattice parameters (Å, degrees): 7.1452 7.1452 8.0804 98.49 98.49 120.08
With the nearest neighbours (Å) after each atom.
Element x y z (fractional)
1 Br 0.5000 0.5000 0.5000  6 Sm 3.21-3.38
2 Br 0.8340 0.1660 0.5000  6 Sm 3.21-3.38
3 Br 0.1660 0.8340 0.5000  6 Sm 3.21-3.38
4 Ru 0.6662 0.3338 0.0000  6 Sm 2.77-2.78
5 Ru 0.3338 0.6662 0.0000  6 Sm 2.77-2.78
6 Ga 0.0000 0.0000 0.0000  6 Sm 2.97
7 Sm 0.9340 0.5779 0.8002  2 Ru 2.77-2.78, 1 Ga 2.97
8 Sm 0.2884 0.2884 0.7993  2 Ru 2.77, 1 Ga 2.97
9 Sm 0.4221 0.0660 0.1998  2 Ru 2.77-2.78, 1 Ga 2.97
10 Sm 0.7116 0.7116 0.2007  2 Ru 2.77, 1 Ga 2.97
11 Sm 0.0660 0.4221 0.1998  2 Ru 2.77-2.78, 1 Ga 2.97
12 Sm 0.5779 0.9340 0.8002  2 Ru 2.77-2.78, 1 Ga 2.97

# 6
The following is a DFT calculation (PBE-GGA) of a relaxed structure of GaSn2RuBr.

Computed properties:
symmetry = P4/mmm, No. 123

Lattice parameters (Å, degrees): 5.1256 5.1256 4.8975 90.00 90.00 90.00
With the nearest neighbours (Å) after each atom.
Element x y z (fractional)
1 Sn 0.0000 0.5000 0.0000  2 Ru 2.56
2 Sn 0.5000 0.0000 0.0000  2 Ru 2.56
3 Br 0.5000 0.5000 0.5000  8 Sn 3.54, 4 Ga 3.62
4 Ru 0.0000 0.0000 0.0000  2 Ga 2.45, 4 Sn 2.56
5 Ga 0.0000 0.0000 0.5000  2 Ru 2.45

no.,ΔE_f (raw) (eV per atom)
1,0.029
2,0.140
3,0.690
4,0.816
5,-0.830
6,-0.325